No. 1
# Tm4InPbN (PBE, optimized geometry)
# - Theoretical density: 9.77 Mg/m³
# - N(E_F): 0.145 states/eV/atom
# - Space-group type: No. 63
# - Energy relative to the elements, uncorrected: -5.8 eV/f.u.
data_Tm4InPbN
_cell_length_a 6.580
_cell_length_b 6.579
_cell_length_c 8.599
_cell_angle_alpha 90.00
_cell_angle_beta 112.50
_cell_angle_gamma 90.00
_symmetry_space_group_name_H-M 'P 1'
_symmetry_Int_Tables_number 1
loop_
_symmetry_equiv_pos_as_xyz
'x,y,z'
loop_
_atom_site_label
_atom_site_type_symbol
_atom_site_fract_x
_atom_site_fract_y
_atom_site_fract_z
Tm1 Tm 0.093 0.750 0.187
In1 In 0.610 0.750 0.220
Pb1 Pb 0.106 0.250 0.212
Tm2 Tm 0.590 0.250 0.179
Tm3 Tm 0.000 0.000 0.500
Tm4 Tm 0.410 0.750 0.821
Tm5 Tm 0.500 0.500 0.500
Tm6 Tm 0.907 0.250 0.813
Tm7 Tm 0.000 0.500 0.500
Pb2 Pb 0.894 0.750 0.788
N1 N 0.249 0.750 0.498
N2 N 0.751 0.250 0.502
In2 In 0.390 0.250 0.780
Tm8 Tm 0.500 0.000 0.500

=====

No. 2
# YWAu2 (PBE, optimized geometry)
# - Theoretical density: 14.13 Mg/m³
# - Energy above the lowest structure with this stoichiometry: 19.3 meV/atom
# - N(E_F): 0.857 states/eV/atom
# - Energy relative to the elements: 0.08 eV/atom
# - Space-group type: No. 123
data_YWAu2
_cell_length_a 4.455
_cell_length_b 4.455
_cell_length_c 3.948
_cell_angle_alpha 90.00
_cell_angle_beta 90.00
_cell_angle_gamma 90.00
_symmetry_space_group_name_H-M 'P 1'
_symmetry_Int_Tables_number 1
loop_
_symmetry_equiv_pos_as_xyz
'x,y,z'
loop_
_atom_site_label
_atom_site_type_symbol
_atom_site_fract_x
_atom_site_fract_y
_atom_site_fract_z
Au1 Au 0.500 0.500 0.000
Au2 Au 0.000 0.000 0.000
W1 W 0.500 0.000 0.500
Y1 Y 0.000 0.500 0.500

=====

No. 3
# AcDyTmAl (PBE, optimized geometry)
# - Theoretical density: 8.33 Mg/m³
# - N(E_F): 1.980 states/eV/atom
# - Energy relative to the elements: 0.10 eV/atom
# - Space-group type: No. 216
data_AcDyTmAl
_cell_length_a 5.486
_cell_length_b 5.486
_cell_length_c 5.486
_cell_angle_alpha 60.00
_cell_angle_beta 60.00
_cell_angle_gamma 60.00
_symmetry_space_group_name_H-M 'P 1'
_symmetry_Int_Tables_number 1
loop_
_symmetry_equiv_pos_as_xyz
'x,y,z'
loop_
_atom_site_label
_atom_site_type_symbol
_atom_site_fract_x
_atom_site_fract_y
_atom_site_fract_z
Tm1 Tm 0.500 0.500 0.500
Al1 Al 0.250 0.250 0.250
Ac1 Ac 0.750 0.750 0.750
Dy1 Dy 0.000 0.000 0.000

=====

No. 4
# Ti2Si2Ru3 (PBE, optimized geometry)
# - Theoretical density: 7.26 Mg/m³
# - N(E_F): 0.393 states/eV/atom
# - Space-group type: No. 12
# - Energy relative to the elements, uncorrected: -4.2 eV/f.u.
data_Ti2Si2Ru3
_cell_length_a 4.224
_cell_length_b 4.219
_cell_length_c 7.174
_cell_angle_alpha 89.89
_cell_angle_beta 107.06
_cell_angle_gamma 120.02
_symmetry_space_group_name_H-M 'P 1'
_symmetry_Int_Tables_number 1
loop_
_symmetry_equiv_pos_as_xyz
'x,y,z'
loop_
_atom_site_label
_atom_site_type_symbol
_atom_site_fract_x
_atom_site_fract_y
_atom_site_fract_z
Ti1 Ti 0.252 0.126 0.376
Si1 Si 0.224 0.612 0.836
Si2 Si 0.776 0.388 0.164
Ti2 Ti 0.748 0.874 0.624
Ru1 Ru 0.000 0.000 0.000
Ru2 Ru 0.488 0.744 0.232
Ru3 Ru 0.512 0.256 0.768

=====

No. 5
# KMg2Pb4 (PBE, optimized geometry)
# - Theoretical density: 7.05 Mg/m³
# - N(E_F): 0.402 states/eV/atom
# - Energy relative to the elements: -0.09 eV/atom
# - Space-group type: No. 139
data_KMg2Pb4
_cell_length_a 6.332
_cell_length_b 6.641
_cell_length_c 6.641
_cell_angle_alpha 76.87
_cell_angle_beta 61.53
_cell_angle_gamma 61.53
_symmetry_space_group_name_H-M 'P 1'
_symmetry_Int_Tables_number 1
loop_
_symmetry_equiv_pos_as_xyz
'x,y,z'
loop_
_atom_site_label
_atom_site_type_symbol
_atom_site_fract_x
_atom_site_fract_y
_atom_site_fract_z
Mg1 Mg 0.250 0.500 0.500
Pb1 Pb 0.302 0.000 0.396
K1 K 0.000 0.000 0.000
Pb2 Pb 0.698 0.604 0.000
Pb3 Pb 0.302 0.396 0.000
Mg2 Mg 0.750 0.500 0.500
Pb4 Pb 0.698 0.000 0.604

=====

No. 6
# BaZrAs2 (PBE, optimized geometry)
# - Theoretical density: 6.07 Mg/m³
# - Energy above the lowest structure with this stoichiometry: 817.3 meV/atom
# - N(E_F): 0.613 states/eV/atom
# - Energy relative to the elements: -0.27 eV/atom
# - Space-group type: No. 119
data_BaZrAs2
_cell_length_a 6.338
_cell_length_b 6.338
_cell_length_c 6.338
_cell_angle_alpha 140.20
_cell_angle_beta 140.20
_cell_angle_gamma 57.55
_symmetry_space_group_name_H-M 'P 1'
_symmetry_Int_Tables_number 1
loop_
_symmetry_equiv_pos_as_xyz
'x,y,z'
loop_
_atom_site_label
_atom_site_type_symbol
_atom_site_fract_x
_atom_site_fract_y
_atom_site_fract_z
Zr1 Zr 0.750 0.250 0.500
As1 As 0.000 0.000 0.000
Ba1 Ba 0.500 0.500 0.000
As2 As 0.250 0.750 0.500